[1]
# PBEsol Mn3TeRh, relaxed
# Total energy (eV per cell): -33.3
# N(E_F) (states/eV/atom): 1.21
# Total magnetic moment (μB/f.u.): 11.61
# Uncorrected formation energy (eV per atom): 1.528
data_Mn3TeRh
_cell_length_a 4.720
_cell_length_b 4.720
_cell_length_c 4.720
_cell_angle_alpha 90.00
_cell_angle_beta 90.00
_cell_angle_gamma 90.00
_space_group_name_H-M_alt 'P 1'
_space_group_IT_number 1
loop_
_space_group_symop_operation_xyz
'x,y,z'
loop_
_atom_site_label
_atom_site_type_symbol
_atom_site_fract_x
_atom_site_fract_y
_atom_site_fract_z
_atom_site_occupancy
Te1 Te 0.000 0.000 0.000 1
Rh1 Rh 0.500 0.500 0.500 1
Mn1 Mn 0.000 0.500 0.000 1
Mn2 Mn 0.000 0.000 0.500 1
Mn3 Mn 0.500 0.000 0.000 1



[2]
# PBEsol TiMnRh2, relaxed
# Total energy (eV per cell): -36.3
# N(E_F) (states/eV/atom): 0.26
# Formation energy from the elements (eV per atom): -0.49
# Total magnetic moment (μB/f.u.): 4.77
data_TiMnRh2
_cell_length_a 4.280
_cell_length_b 4.280
_cell_length_c 4.280
_cell_angle_alpha 60.00
_cell_angle_beta 60.00
_cell_angle_gamma 60.00
_space_group_name_H-M_alt 'P 1'
_space_group_IT_number 1
loop_
_space_group_symop_operation_xyz
'x,y,z'
loop_
_atom_site_label
_atom_site_type_symbol
_atom_site_fract_x
_atom_site_fract_y
_atom_site_fract_z
_atom_site_occupancy
Rh1 Rh 0.250 0.250 0.250 1
Rh2 Rh 0.750 0.750 0.750 1
Mn1 Mn 0.500 0.500 0.500 1
Ti1 Ti 0.000 0.000 0.000 1



[3]
# PBEsol MnTlRh, relaxed
# Total energy (eV per cell): -19.0
# N(E_F) (states/eV/atom): 0.87
# ΔE to the lowest computed polymorph (eV/atom): 0.327
# Formation energy from the elements (eV per atom): 0.52
# Total magnetic moment (μB/f.u.): 3.73
data_MnTlRh
_cell_length_a 4.252
_cell_length_b 4.252
_cell_length_c 4.252
_cell_angle_alpha 60.00
_cell_angle_beta 60.00
_cell_angle_gamma 60.00
_space_group_name_H-M_alt 'P 1'
_space_group_IT_number 1
loop_
_space_group_symop_operation_xyz
'x,y,z'
loop_
_atom_site_label
_atom_site_type_symbol
_atom_site_fract_x
_atom_site_fract_y
_atom_site_fract_z
_atom_site_occupancy
Rh1 Rh 0.000 0.000 0.000 1
Mn1 Mn 0.250 0.250 0.250 1
Tl1 Tl 0.500 0.500 0.500 1



[4]
# PBEsol MnTlRh, relaxed
# Total energy (eV per cell): -20.0
# N(E_F) (states/eV/atom): 0.41
# ΔE to the lowest computed polymorph (eV/atom): 0.000
# Formation energy from the elements (eV per atom): 0.19
# Total magnetic moment (μB/f.u.): 4.09
data_MnTlRh
_cell_length_a 3.056
_cell_length_b 3.648
_cell_length_c 4.948
_cell_angle_alpha 111.63
_cell_angle_beta 107.99
_cell_angle_gamma 90.00
_space_group_name_H-M_alt 'P 1'
_space_group_IT_number 1
loop_
_space_group_symop_operation_xyz
'x,y,z'
loop_
_atom_site_label
_atom_site_type_symbol
_atom_site_fract_x
_atom_site_fract_y
_atom_site_fract_z
_atom_site_occupancy
Mn1 Mn 0.988 0.988 0.977 1
Rh1 Rh 0.344 0.344 0.688 1
Tl1 Tl 0.668 0.668 0.335 1



[5]
# PBEsol Mn2TlRhW, relaxed
# Total energy (eV per cell): -35.4
# N(E_F) (states/eV/atom): 0.96
# Formation energy from the elements (eV per atom): 1.73
# Total magnetic moment (μB/f.u.): 4.96
data_Mn2TlRhW
_cell_length_a 4.437
_cell_length_b 4.437
_cell_length_c 5.182
_cell_angle_alpha 90.00
_cell_angle_beta 90.00
_cell_angle_gamma 90.00
_space_group_name_H-M_alt 'P 1'
_space_group_IT_number 1
loop_
_space_group_symop_operation_xyz
'x,y,z'
loop_
_atom_site_label
_atom_site_type_symbol
_atom_site_fract_x
_atom_site_fract_y
_atom_site_fract_z
_atom_site_occupancy
Tl1 Tl 0.000 0.000 0.500 1
Rh1 Rh 0.500 0.500 0.500 1
Mn1 Mn 0.500 0.000 0.000 1
Mn2 Mn 0.000 0.500 0.000 1
W1 W 0.000 0.000 0.000 1



[6]
# PBEsol TmMnRh2, relaxed
# Total energy (eV per cell): -32.8
# N(E_F) (states/eV/atom): 0.47
# Formation energy from the elements (eV per atom): -0.46
# Total magnetic moment (μB/f.u.): 4.37
data_TmMnRh2
_cell_length_a 4.466
_cell_length_b 4.466
_cell_length_c 4.466
_cell_angle_alpha 60.00
_cell_angle_beta 60.00
_cell_angle_gamma 60.00
_space_group_name_H-M_alt 'P 1'
_space_group_IT_number 1
loop_
_space_group_symop_operation_xyz
'x,y,z'
loop_
_atom_site_label
_atom_site_type_symbol
_atom_site_fract_x
_atom_site_fract_y
_atom_site_fract_z
_atom_site_occupancy
Tm1 Tm 0.500 0.500 0.500 1
Mn1 Mn 0.000 0.000 0.000 1
Rh1 Rh 0.250 0.250 0.250 1
Rh2 Rh 0.750 0.750 0.750 1



[7]
# PBEsol MnRhW2, relaxed
# Total energy (eV per cell): -45.1
# N(E_F) (states/eV/atom): 0.90
# ΔE to the lowest computed polymorph (eV/atom): 0.041
# Formation energy from the elements (eV per atom): 0.11
# Total magnetic moment (μB/f.u.): 2.50
data_MnRhW2
_cell_length_a 3.120
_cell_length_b 3.120
_cell_length_c 5.863
_cell_angle_alpha 90.00
_cell_angle_beta 90.00
_cell_angle_gamma 90.00
_space_group_name_H-M_alt 'P 1'
_space_group_IT_number 1
loop_
_space_group_symop_operation_xyz
'x,y,z'
loop_
_atom_site_label
_atom_site_type_symbol
_atom_site_fract_x
_atom_site_fract_y
_atom_site_fract_z
_atom_site_occupancy
W1 W 0.500 0.500 0.267 1
W2 W 0.000 0.000 0.997 1
Mn1 Mn 0.000 0.000 0.491 1
Rh1 Rh 0.500 0.500 0.744 1



[8]
# PBEsol MnRhW2, relaxed
# Total energy (eV per cell): -44.5
# N(E_F) (states/eV/atom): 1.05
# ΔE to the lowest computed polymorph (eV/atom): 0.177
# Formation energy from the elements (eV per atom): 0.25
# Total magnetic moment (μB/f.u.): 1.86
data_MnRhW2
_cell_length_a 2.711
_cell_length_b 2.711
_cell_length_c 9.099
_cell_angle_alpha 81.43
_cell_angle_beta 81.43
_cell_angle_gamma 60.00
_space_group_name_H-M_alt 'P 1'
_space_group_IT_number 1
loop_
_space_group_symop_operation_xyz
'x,y,z'
loop_
_atom_site_label
_atom_site_type_symbol
_atom_site_fract_x
_atom_site_fract_y
_atom_site_fract_z
_atom_site_occupancy
Rh1 Rh 0.247 0.247 0.260 1
W1 W 0.996 0.996 0.012 1
W2 W 0.755 0.755 0.735 1
Mn1 Mn 0.502 0.502 0.493 1



[9]
# PBEsol Mn4RhW, relaxed
# Total energy (eV per cell): -61.2
# N(E_F) (states/eV/atom): 1.17
# Formation energy from the elements (eV per atom): -0.04
# Total magnetic moment (μB/f.u.): 0.93
data_Mn4RhW
_cell_length_a 4.632
_cell_length_b 4.632
_cell_length_c 4.632
_cell_angle_alpha 60.00
_cell_angle_beta 60.00
_cell_angle_gamma 60.00
_space_group_name_H-M_alt 'P 1'
_space_group_IT_number 1
loop_
_space_group_symop_operation_xyz
'x,y,z'
loop_
_atom_site_label
_atom_site_type_symbol
_atom_site_fract_x
_atom_site_fract_y
_atom_site_fract_z
_atom_site_occupancy
Mn1 Mn 0.377 0.868 0.377 1
Mn2 Mn 0.868 0.377 0.377 1
Mn3 Mn 0.377 0.377 0.868 1
Mn4 Mn 0.377 0.377 0.377 1
W1 W 0.000 0.000 0.000 1
Rh1 Rh 0.750 0.750 0.750 1



[10]
# PBEsol MnRhW3, relaxed
# Total energy (eV per cell): -52.5
# N(E_F) (states/eV/atom): 0.91
# Formation energy from the elements (eV per atom): 1.37
# Total magnetic moment (μB/f.u.): 0.00
data_MnRhW3
_cell_length_a 4.364
_cell_length_b 4.364
_cell_length_c 4.364
_cell_angle_alpha 90.00
_cell_angle_beta 90.00
_cell_angle_gamma 90.00
_space_group_name_H-M_alt 'P 1'
_space_group_IT_number 1
loop_
_space_group_symop_operation_xyz
'x,y,z'
loop_
_atom_site_label
_atom_site_type_symbol
_atom_site_fract_x
_atom_site_fract_y
_atom_site_fract_z
_atom_site_occupancy
Mn1 Mn 0.000 0.000 0.000 1
Rh1 Rh 0.500 0.500 0.500 1
W1 W 0.000 0.000 0.500 1
W2 W 0.500 0.000 0.000 1
W3 W 0.000 0.500 0.000 1



[11]
# PBEsol MnRhW2, relaxed
# Total energy (eV per cell): -45.2
# N(E_F) (states/eV/atom): 0.90
# ΔE to the lowest computed polymorph (eV/atom): 0.000
# Formation energy from the elements (eV per atom): 0.07
# Total magnetic moment (μB/f.u.): 1.43
data_MnRhW2
_cell_length_a 2.684
_cell_length_b 3.822
_cell_length_c 5.443
_cell_angle_alpha 90.00
_cell_angle_beta 90.00
_cell_angle_gamma 90.00
_space_group_name_H-M_alt 'P 1'
_space_group_IT_number 1
loop_
_space_group_symop_operation_xyz
'x,y,z'
loop_
_atom_site_label
_atom_site_type_symbol
_atom_site_fract_x
_atom_site_fract_y
_atom_site_fract_z
_atom_site_occupancy
Mn1 Mn 0.500 0.500 0.000 1
W1 W 0.000 0.000 0.756 1
W2 W 0.000 0.000 0.244 1
Rh1 Rh 0.500 0.500 0.500 1



[12]
# PBEsol YMnRh2, relaxed
# Total energy (eV per cell): -32.5
# N(E_F) (states/eV/atom): 0.87
# Formation energy from the elements (eV per atom): 0.10
# Total magnetic moment (μB/f.u.): 4.44
data_YMnRh2
_cell_length_a 3.130
_cell_length_b 3.130
_cell_length_c 8.170
_cell_angle_alpha 78.96
_cell_angle_beta 78.96
_cell_angle_gamma 60.00
_space_group_name_H-M_alt 'P 1'
_space_group_IT_number 1
loop_
_space_group_symop_operation_xyz
'x,y,z'
loop_
_atom_site_label
_atom_site_type_symbol
_atom_site_fract_x
_atom_site_fract_y
_atom_site_fract_z
_atom_site_occupancy
Rh1 Rh 0.255 0.255 0.235 1
Rh2 Rh 0.745 0.745 0.765 1
Y1 Y 0.500 0.500 0.500 1
Mn1 Mn 0.000 0.000 0.000 1